1.
{"formula": "Dy6Hg2H", "functional": "GGA-PBE", "state": "relaxed", "energy_ha_per_atom": -0.1382, "total_magnetization_mub_per_fu": 0.00, "cell": [[6.5481, 0.0000, 0.0000], [0.0000, 6.8124, 0.0000], [-6.0746, 0.0000, 10.5005]], "species": ["Dy", "Dy", "Dy", "Dy", "Dy", "Dy", "Dy", "Dy", "Dy", "Dy", "Dy", "Dy", "Hg", "Hg", "Hg", "Hg", "H", "H"], "fractional_positions": [[0.1206, 0.0035, 0.2497], [0.1206, 0.4965, 0.7497], [0.1984, 0.1890, 0.5356], [0.1984, 0.3110, 0.0356], [0.3625, 0.6932, 0.5355], [0.3625, 0.8068, 0.0355], [0.6375, 0.1932, 0.9645], [0.6375, 0.3068, 0.4645], [0.8016, 0.6891, 0.9644], [0.8016, 0.8109, 0.4644], [0.8794, 0.5035, 0.2503], [0.8794, 0.9965, 0.7503], [0.3475, 0.6067, 0.2568], [0.3475, 0.8933, 0.7568], [0.6525, 0.1067, 0.2432], [0.6525, 0.3933, 0.7432], [0.5000, 0.0000, 0.5000], [0.5000, 0.5000, 0.0000]]}

---

2.
{"formula": "DyHgH", "functional": "GGA-PBE", "state": "relaxed", "e_above_lowest_polymorph_ev_per_fu": 0.00, "total_magnetization_mub_per_fu": 0.00, "cell": [[3.7331, 0.0000, 0.0000], [0.0000, 3.7331, 0.0000], [0.0000, 0.0000, 7.6780]], "species": ["Dy", "Dy", "Hg", "Hg", "H", "H"], "fractional_positions": [[0.2500, 0.2500, 0.1632], [0.7500, 0.7500, 0.8368], [0.2500, 0.2500, 0.6110], [0.7500, 0.7500, 0.3890], [0.2500, 0.7500, 0.0000], [0.7500, 0.2500, 0.0000]]}

---

3.
{"formula": "DyHgH", "functional": "GGA-PBE", "state": "relaxed", "e_above_lowest_polymorph_ev_per_fu": 0.25, "total_magnetization_mub_per_fu": 0.00, "cell": [[3.6259, 0.0000, 0.0000], [0.0160, 5.5719, 0.0000], [1.8032, 2.5841, 5.4486]], "species": ["Dy", "Dy", "Hg", "Hg", "H", "H"], "fractional_positions": [[0.1103, 0.3567, 0.2825], [0.8897, 0.6433, 0.7175], [0.3667, 0.1361, 0.7682], [0.6333, 0.8639, 0.2318], [0.2980, 0.6057, 0.9020], [0.7020, 0.3943, 0.0980]]}